Entry 1:
Here is BeTlP3 after structural relaxation from Alexandria. Energies are from PBE.

Computed properties:
Symmetry: No. 221
Energy of formation from the pure elements in eV per atom: 0.6700

Geometry as POSCAR:
```
BeTlP3
1.0
4.455 0.000 0.000
0.000 4.455 0.000
0.000 0.000 4.455
Be Tl P
1 1 3
Direct
0.000 0.000 0.000
0.500 0.500 0.500
0.000 0.000 0.500
0.000 0.500 0.000
0.500 0.000 0.000
```

Entry 2:
Here is RbCoIrCl6 after structural relaxation from Alexandria. Energies are from PBE.

Computed properties:
Symmetry: No. 5

Geometry as POSCAR:
```
RbCoIrCl6
1.0
3.150 -5.464 0.000
3.150 5.464 0.000
-0.046 0.000 7.450
Rb Co Ir Cl
1 1 1 6
Direct
0.000 0.000 0.000
0.332 0.668 0.500
0.666 0.334 0.500
0.372 0.011 0.678
0.375 0.367 0.319
0.633 0.625 0.681
0.641 0.011 0.320
0.989 0.359 0.680
0.989 0.628 0.322
```

Entry 3:
Here is Ac2ErAs4Ir3 after structural relaxation from Alexandria. Energies are from PBE.

Computed properties:
Symmetry: No. 115
Energy of formation from the pure elements in eV per atom: -0.8750

Geometry as POSCAR:
```
Ac2ErAs4Ir3
1.0
4.450 0.000 0.000
0.000 4.450 0.000
0.000 0.000 10.849
Ac Er As Ir
2 1 4 3
Direct
0.000 0.500 0.228
0.500 0.000 0.772
0.000 0.000 0.500
0.000 0.000 0.000
0.000 0.500 0.656
0.500 0.000 0.344
0.500 0.500 0.000
0.000 0.500 0.893
0.500 0.000 0.107
0.500 0.500 0.500
```

Entry 4:
Here is Ca3MgS4 after structural relaxation from Alexandria. Energies are from PBE.

Computed properties:
Symmetry: No. 123

Geometry as POSCAR:
```
Ca3MgS4
1.0
3.980 0.000 0.000
0.000 3.980 0.000
0.000 0.000 11.167
Ca Mg S
3 1 4
Direct
0.000 0.000 0.000
0.500 0.500 0.256
0.500 0.500 0.744
0.000 0.000 0.500
0.000 0.000 0.261
0.000 0.000 0.739
0.500 0.500 0.000
0.500 0.500 0.500
```

Entry 5:
Here is SiSb2P after structural relaxation from Alexandria. Energies are from PBE.

Computed properties:
Symmetry: No. 119

Geometry as POSCAR:
```
SiSb2P
1.0
-1.992 1.992 5.571
1.992 -1.992 5.571
1.992 1.992 -5.571
Si Sb P
1 2 1
Direct
0.000 0.000 0.000
0.500 0.500 0.000
0.750 0.250 0.500
0.250 0.750 0.500
```

Entry 6:
Here is InAgSn after structural relaxation from Alexandria. Energies are from PBE.

Computed properties:
Symmetry: No. 1
Energy of formation from the pure elements in eV per atom: 0.0383

Geometry as POSCAR:
```
InAgSn
1.0
4.521 0.000 0.000
-0.028 5.777 0.000
-2.249 -1.367 5.622
In Ag Sn
2 2 2
Direct
0.000 0.000 0.000
0.301 0.903 0.605
0.074 0.515 0.150
0.635 0.835 0.269
0.406 0.448 0.811
0.703 0.347 0.409
```

Entry 7:
Here is Na2InRuO6 after structural relaxation from Alexandria. Energies are from PBE.

Computed properties:
Symmetry: No. 99

Geometry as POSCAR:
```
Na2InRuO6
1.0
5.678 0.000 0.000
0.000 5.678 0.000
0.000 0.000 4.210
Na In Ru O
2 1 1 6
Direct
0.000 0.500 0.000
0.500 0.000 0.000
0.000 0.000 0.595
0.500 0.500 0.533
0.000 0.000 0.103
0.273 0.273 0.630
0.273 0.727 0.630
0.500 0.500 0.120
0.727 0.273 0.630
0.727 0.727 0.630
```

Entry 8:
Here is Ba4Na5Au2 after structural relaxation from Alexandria. Energies are from PBE.

Computed properties:
Symmetry: No. 10
Energy of formation from the pure elements in eV per atom: -0.2615

Geometry as POSCAR:
```
Ba4Na5Au2
1.0
9.280 0.000 0.000
0.000 4.410 0.000
-0.763 0.000 11.463
Ba Na Au
4 5 2
Direct
0.165 0.000 0.341
0.203 0.000 0.947
0.797 0.000 0.053
0.835 0.000 0.659
0.187 0.500 0.653
0.448 0.500 0.174
0.500 0.500 0.500
0.552 0.500 0.826
0.813 0.500 0.347
0.066 0.500 0.137
0.934 0.500 0.863
```

Entry 9:
Here is TmGa2Au7 after structural relaxation from Alexandria. Energies are from PBE.

Computed properties:
Symmetry: No. 10
Energy of formation from the pure elements in eV per atom: -0.2810

Geometry as POSCAR:
```
TmGa2Au7
1.0
7.368 0.000 0.000
0.000 3.937 0.000
-2.898 0.000 7.384
Tm Ga Au
1 2 7
Direct
0.000 0.000 0.000
0.384 0.500 0.630
0.616 0.500 0.370
0.000 0.500 0.500
0.220 0.500 0.276
0.220 0.500 0.880
0.448 0.000 0.154
0.552 0.000 0.846
0.780 0.500 0.120
0.780 0.500 0.724
```

Entry 10:
Here is TlRe2Ag after structural relaxation from Alexandria. Energies are from PBE.

Computed properties:
Symmetry: No. 123
Energy of formation from the pure elements in eV per atom: 1.3061

Geometry as POSCAR:
```
TlRe2Ag
1.0
4.548 0.000 0.000
0.000 4.548 0.000
0.000 0.000 3.299
Tl Re Ag
1 2 1
Direct
0.000 0.000 0.000
0.000 0.500 0.500
0.500 0.000 0.500
0.500 0.500 0.000
```

Entry 11:
Here is LaTbHo2In4 after structural relaxation from Alexandria. Energies are from PBE.

Computed properties:
Symmetry: No. 166
Energy of formation from the pure elements in eV per atom: -0.4686

Geometry as POSCAR:
```
LaTbHo2In4
1.0
2.689 1.553 8.818
-2.689 1.553 8.818
0.000 -3.106 8.818
La Tb Ho In
1 1 2 4
Direct
0.000 0.000 0.000
0.500 0.500 0.500
0.250 0.250 0.250
0.750 0.750 0.750
0.127 0.127 0.127
0.377 0.377 0.377
0.623 0.623 0.623
0.873 0.873 0.873
```

Entry 12:
Here is Cs3Rb5Na6 after structural relaxation from Alexandria. Energies are from PBE.

Computed properties:
Symmetry: No. 59
Energy of formation from the pure elements in eV per atom: 0.0316

Geometry as POSCAR:
```
Cs3Rb5Na6
1.0
6.539 0.000 0.000
0.000 18.708 0.000
0.000 0.000 16.252
Cs Rb Na
6 10 12
Direct
0.250 0.055 0.250
0.250 0.445 0.250
0.250 0.750 0.226
0.750 0.250 0.774
0.750 0.555 0.750
0.750 0.945 0.750
0.250 0.076 0.915
0.250 0.424 0.915
0.250 0.596 0.506
0.250 0.750 0.725
0.250 0.904 0.506
0.750 0.096 0.494
0.750 0.250 0.275
0.750 0.404 0.494
0.750 0.576 0.085
0.750 0.924 0.085
0.250 0.121 0.651
0.250 0.250 0.083
0.250 0.250 0.471
0.250 0.379 0.651
0.250 0.653 0.951
0.250 0.847 0.951
0.750 0.153 0.049
0.750 0.347 0.049
0.750 0.621 0.349
0.750 0.750 0.529
0.750 0.750 0.917
0.750 0.879 0.349
```

Entry 13:
Here is AlTlAuF6 after structural relaxation from Alexandria. Energies are from PBE.

Computed properties:
Symmetry: No. 1

Geometry as POSCAR:
```
AlTlAuF6
1.0
5.583 0.000 0.000
-2.506 5.055 0.000
-0.086 -0.135 5.665
Al Tl Au F
1 1 1 6
Direct
0.000 0.000 0.000
0.330 0.671 0.502
0.667 0.341 0.002
0.009 0.774 0.784
0.230 0.981 0.207
0.279 0.283 0.852
0.716 0.719 0.149
0.737 0.041 0.815
0.962 0.255 0.193
```

Entry 14:
Here is Pm2YAs3 after structural relaxation from Alexandria. Energies are from PBE.

Computed properties:
Symmetry: No. 70
Energy of formation from the pure elements in eV per atom: -1.5352

Geometry as POSCAR:
```
Pm2YAs3
1.0
0.000 5.942 12.604
4.200 0.000 12.604
4.200 5.942 0.000
Pm Y As
8 4 12
Direct
0.042 0.042 0.208
0.125 0.125 0.625
0.208 0.208 0.042
0.375 0.375 0.875
0.625 0.625 0.125
0.792 0.792 0.958
0.875 0.875 0.375
0.958 0.958 0.792
0.292 0.292 0.458
0.458 0.458 0.292
0.542 0.542 0.708
0.708 0.708 0.542
0.041 0.541 0.214
0.130 0.620 0.620
0.214 0.705 0.041
0.295 0.786 0.459
0.380 0.870 0.870
0.459 0.959 0.295
0.541 0.041 0.705
0.620 0.130 0.130
0.705 0.214 0.541
0.786 0.295 0.959
0.870 0.380 0.380
0.959 0.459 0.786
```

Entry 15:
Here is TmMg2Au3 after structural relaxation from Alexandria. Energies are from PBE.

Computed properties:
Symmetry: No. 164
Energy of formation from the pure elements in eV per atom: -0.7156

Geometry as POSCAR:
```
TmMg2Au3
1.0
4.782 0.000 0.000
-2.391 4.142 0.000
0.000 0.000 11.938
Tm Mg Au
2 4 6
Direct
0.333 0.667 0.171
0.667 0.333 0.829
0.000 0.000 0.000
0.000 0.000 0.500
0.333 0.667 0.660
0.667 0.333 0.340
0.000 0.000 0.264
0.000 0.000 0.736
0.333 0.667 0.419
0.333 0.667 0.920
0.667 0.333 0.080
0.667 0.333 0.581
```

Entry 16:
Here is Al5NiPt2 after structural relaxation from Alexandria. Energies are from PBE.

Computed properties:
Symmetry: No. 62
Energy of formation from the pure elements in eV per atom: -0.6473

Geometry as POSCAR:
```
Al5NiPt2
1.0
12.255 0.000 0.000
0.000 5.753 0.000
0.000 0.000 7.049
Al Ni Pt
20 4 8
Direct
0.002 0.250 0.088
0.125 0.513 0.343
0.125 0.987 0.343
0.157 0.250 0.676
0.187 0.750 0.680
0.313 0.250 0.180
0.343 0.750 0.176
0.375 0.013 0.843
0.375 0.487 0.843
0.498 0.750 0.588
0.502 0.250 0.412
0.625 0.513 0.157
0.625 0.987 0.157
0.657 0.250 0.824
0.687 0.750 0.820
0.813 0.250 0.320
0.843 0.750 0.324
0.875 0.013 0.657
0.875 0.487 0.657
0.998 0.750 0.912
0.007 0.750 0.539
0.493 0.250 0.039
0.507 0.750 0.961
0.993 0.250 0.461
0.173 0.501 0.989
0.173 0.999 0.989
0.327 0.001 0.489
0.327 0.499 0.489
0.673 0.501 0.511
0.673 0.999 0.511
0.827 0.001 0.011
0.827 0.499 0.011
```

Entry 17:
Here is Ta2Pt3S8 after structural relaxation from Alexandria. Energies are from PBE.

Computed properties:
Symmetry: No. 55

Geometry as POSCAR:
```
Ta2Pt3S8
1.0
10.719 0.000 0.000
0.000 14.751 0.000
0.000 0.000 3.487
Ta Pt S
4 6 16
Direct
0.194 0.125 0.000
0.306 0.625 0.000
0.694 0.375 0.000
0.806 0.875 0.000
0.000 0.000 0.500
0.148 0.727 0.500
0.352 0.227 0.500
0.500 0.500 0.500
0.648 0.773 0.500
0.852 0.273 0.500
0.028 0.158 0.500
0.077 0.631 0.000
0.219 0.004 0.500
0.230 0.290 0.000
0.270 0.790 0.000
0.281 0.504 0.500
0.423 0.131 0.000
0.472 0.658 0.500
0.528 0.342 0.500
0.577 0.869 0.000
0.719 0.496 0.500
0.730 0.210 0.000
0.770 0.710 0.000
0.781 0.996 0.500
0.923 0.369 0.000
0.972 0.842 0.500
```

Entry 18:
Here is SrHo2Au3 after structural relaxation from Alexandria. Energies are from PBE.

Computed properties:
Symmetry: No. 123
Energy of formation from the pure elements in eV per atom: -0.8267

Geometry as POSCAR:
```
SrHo2Au3
1.0
3.643 0.000 0.000
0.000 3.643 0.000
0.000 0.000 11.144
Sr Ho Au
1 2 3
Direct
0.000 0.000 0.000
0.000 0.000 0.338
0.000 0.000 0.662
0.500 0.500 0.198
0.500 0.500 0.500
0.500 0.500 0.802
```

Entry 19:
Here is LaNdY3Tm after structural relaxation from Alexandria. Energies are from PBE.

Computed properties:
Symmetry: No. 63
Energy of formation from the pure elements in eV per atom: 0.1016

Geometry as POSCAR:
```
LaNdY3Tm
1.0
2.946 -5.795 0.000
2.946 5.795 0.000
0.000 0.000 11.769
La Nd Y Tm
2 2 6 2
Direct
0.009 0.991 0.750
0.991 0.009 0.250
0.500 0.500 0.000
0.500 0.500 0.500
0.175 0.825 0.007
0.175 0.825 0.493
0.326 0.674 0.750
0.674 0.326 0.250
0.825 0.175 0.507
0.825 0.175 0.993
0.332 0.668 0.250
0.668 0.332 0.750
```

Entry 20:
Here is LiHgCl2 after structural relaxation from Alexandria. Energies are from PBE.

Computed properties:
Symmetry: No. 123

Geometry as POSCAR:
```
LiHgCl2
1.0
4.968 0.000 0.000
0.000 4.968 0.000
0.000 0.000 3.573
Li Hg Cl
1 1 2
Direct
0.000 0.000 0.000
0.500 0.500 0.000
0.000 0.500 0.500
0.500 0.000 0.500
```

Entry 21:
Here is ReTeS2Cl after structural relaxation from Alexandria. Energies are from PBE.

Computed properties:
Symmetry: No. 123

Geometry as POSCAR:
```
ReTeS2Cl
1.0
4.649 0.000 0.000
0.000 4.649 0.000
0.000 0.000 4.819
Re Te S Cl
1 1 2 1
Direct
0.000 0.000 0.000
0.500 0.500 0.500
0.000 0.500 0.000
0.500 0.000 0.000
0.000 0.000 0.500
```

| no. | total magnetic moment (μB/f.u.) | final energy (eV/cell) |
| --- | --- | --- |
| 1 | 0.000 | -19.0 |
| 2 | 3.010 | -35.5 |
| 3 | 0.000 | -66.7 |
| 4 | 0.000 | -39.6 |
| 5 | 0.000 | -16.8 |
| 6 | 0.000 | -19.0 |
| 7 | 0.965 | -55.6 |
| 8 | 0.000 | -23.7 |
| 9 | 0.000 | -36.3 |
| 10 | 0.000 | -24.9 |
| 11 | 0.000 | -33.4 |
| 12 | 0.000 | -29.7 |
| 13 | 0.957 | -40.7 |
| 14 | 0.000 | -156.5 |
| 15 | 0.000 | -43.6 |
| 16 | 0.000 | -167.0 |
| 17 | 0.000 | -169.4 |
| 18 | 0.000 | -25.6 |
| 19 | 0.000 | -65.9 |
| 20 | 0.000 | -8.9 |
| 21 | 0.000 | -24.0 |